No. 1
A plane-wave DFT calculation with GGA-PBE was carried out for a relaxed Tl2ZnB crystal.

Energy of formation in eV per atom: 0.83
Calculated total energy in eV/atom: -2.34
SG: I-42d
M_tot in μB per cell: 0.00
Distance to the lowest polymorph of the same formula in eV/atom: 0.000

abc: 6.210 6.210 10.947
angles: 90.00 90.00 90.00
Atoms (fractional coordinates):
Tl  0.156  0.250  0.125
Tl  0.250  0.656  0.375
Tl  0.250  0.844  0.875
Tl  0.344  0.250  0.625
Tl  0.656  0.750  0.625
Tl  0.750  0.156  0.875
Tl  0.750  0.344  0.375
Tl  0.844  0.750  0.125
Zn  0.000  0.000  0.500
Zn  0.000  0.500  0.750
Zn  0.500  0.000  0.250
Zn  0.500  0.500  0.000
B  0.000  0.000  0.000
B  0.000  0.500  0.250
B  0.500  0.000  0.750
B  0.500  0.500  0.500

---

No. 2
A plane-wave DFT calculation with GGA-PBE was carried out for a relaxed ZrTl3B crystal.

Energy of formation in eV per atom: 0.92
Calculated total energy in eV/atom: -3.54
SG: Pm-3m
M_tot in μB per cell: 0.00
Distance to the lowest polymorph of the same formula in eV/atom: 0.000

abc: 4.890 4.890 4.890
angles: 90.00 90.00 90.00
Atoms (fractional coordinates):
Zr  0.000  0.000  0.000
Tl  0.000  0.500  0.500
Tl  0.500  0.000  0.500
Tl  0.500  0.500  0.000
B  0.500  0.500  0.500

---

No. 3
A plane-wave DFT calculation with GGA-PBE was carried out for a relaxed ZrTlB3 crystal.

Energy of formation in eV per atom: 1.65
Calculated total energy in eV/atom: -4.54
SG: Pm-3m
M_tot in μB per cell: 0.00
Distance to the lowest polymorph of the same formula in eV/atom: 0.000

abc: 4.612 4.612 4.612
angles: 90.00 90.00 90.00
Atoms (fractional coordinates):
Zr  0.000  0.000  0.000
Tl  0.500  0.500  0.500
B  0.000  0.000  0.500
B  0.000  0.500  0.000
B  0.500  0.000  0.000

---

No. 4
A plane-wave DFT calculation with GGA-PBE was carried out for a relaxed ZrTlB3 crystal.

Energy of formation in eV per atom: 2.17
Calculated total energy in eV/atom: -4.02
SG: Pm-3m
M_tot in μB per cell: 0.00
Distance to the lowest polymorph of the same formula in eV/atom: 0.522

abc: 4.388 4.388 4.388
angles: 90.00 90.00 90.00
Atoms (fractional coordinates):
Zr  0.000  0.000  0.000
Tl  0.500  0.500  0.500
B  0.000  0.500  0.500
B  0.500  0.000  0.500
B  0.500  0.500  0.000

---

No. 5
A plane-wave DFT calculation with GGA-PBE was carried out for a relaxed Zr2TlB crystal.

Energy of formation in eV per atom: -0.40
Calculated total energy in eV/atom: -6.93
SG: R-3m
M_tot in μB per cell: 0.00
Distance to the lowest polymorph of the same formula in eV/atom: 0.000

abc: 3.475 3.475 23.002
angles: 90.00 90.00 120.00
Atoms (fractional coordinates):
Zr  0.000  0.000  0.223
Zr  0.000  0.000  0.777
Zr  0.333  0.667  0.444
Zr  0.333  0.667  0.890
Zr  0.667  0.333  0.110
Zr  0.667  0.333  0.556
Tl  0.000  0.000  0.000
Tl  0.333  0.667  0.667
Tl  0.667  0.333  0.333
B  0.000  0.000  0.500
B  0.333  0.667  0.167
B  0.667  0.333  0.833

---

No. 6
A plane-wave DFT calculation with GGA-PBE was carried out for a relaxed Zr2TlB crystal.

Energy of formation in eV per atom: 0.14
Calculated total energy in eV/atom: -6.39
SG: I-42d
M_tot in μB per cell: 0.00
Distance to the lowest polymorph of the same formula in eV/atom: 0.538

abc: 7.109 7.109 6.409
angles: 90.00 90.00 90.00
Atoms (fractional coordinates):
Zr  0.185  0.250  0.125
Zr  0.250  0.685  0.375
Zr  0.250  0.815  0.875
Zr  0.315  0.250  0.625
Zr  0.685  0.750  0.625
Zr  0.750  0.185  0.875
Zr  0.750  0.315  0.375
Zr  0.815  0.750  0.125
Tl  0.000  0.000  0.500
Tl  0.000  0.500  0.750
Tl  0.500  0.000  0.250
Tl  0.500  0.500  0.000
B  0.000  0.000  0.000
B  0.000  0.500  0.250
B  0.500  0.000  0.750
B  0.500  0.500  0.500

---

No. 7
A plane-wave DFT calculation with GGA-PBE was carried out for a relaxed ZrTlB2 crystal.

Energy of formation in eV per atom: 1.09
Calculated total energy in eV/atom: -4.98
SG: Fm-3m
M_tot in μB per cell: 2.06
Distance to the lowest polymorph of the same formula in eV/atom: 0.262

abc: 6.190 6.190 6.190
angles: 90.00 90.00 90.00
Atoms (fractional coordinates):
Zr  0.000  0.000  0.000
Zr  0.000  0.500  0.500
Zr  0.500  0.000  0.500
Zr  0.500  0.500  0.000
Tl  0.000  0.000  0.500
Tl  0.000  0.500  0.000
Tl  0.500  0.000  0.000
Tl  0.500  0.500  0.500
B  0.250  0.250  0.250
B  0.250  0.250  0.750
B  0.250  0.750  0.250
B  0.250  0.750  0.750
B  0.750  0.250  0.250
B  0.750  0.250  0.750
B  0.750  0.750  0.250
B  0.750  0.750  0.750

---

No. 8
A plane-wave DFT calculation with GGA-PBE was carried out for a relaxed ZrTl2B crystal.

Energy of formation in eV per atom: 1.15
Calculated total energy in eV/atom: -3.84
SG: Fm-3m
M_tot in μB per cell: 0.00
Distance to the lowest polymorph of the same formula in eV/atom: 0.532

abc: 7.054 7.054 7.054
angles: 90.00 90.00 90.00
Atoms (fractional coordinates):
Zr  0.000  0.000  0.000
Zr  0.000  0.500  0.500
Zr  0.500  0.000  0.500
Zr  0.500  0.500  0.000
Tl  0.250  0.250  0.250
Tl  0.250  0.250  0.750
Tl  0.250  0.750  0.250
Tl  0.250  0.750  0.750
Tl  0.750  0.250  0.250
Tl  0.750  0.250  0.750
Tl  0.750  0.750  0.250
Tl  0.750  0.750  0.750
B  0.000  0.000  0.500
B  0.000  0.500  0.000
B  0.500  0.000  0.000
B  0.500  0.500  0.500

---

No. 9
A plane-wave DFT calculation with GGA-PBE was carried out for a relaxed ZrTl2B crystal.

Energy of formation in eV per atom: 0.61
Calculated total energy in eV/atom: -4.38
SG: I-42d
M_tot in μB per cell: 0.00
Distance to the lowest polymorph of the same formula in eV/atom: 0.000

abc: 7.925 7.925 5.264
angles: 90.00 90.00 90.00
Atoms (fractional coordinates):
Zr  0.000  0.000  0.000
Zr  0.000  0.500  0.250
Zr  0.500  0.000  0.750
Zr  0.500  0.500  0.500
Tl  0.168  0.250  0.625
Tl  0.250  0.668  0.875
Tl  0.250  0.832  0.375
Tl  0.332  0.250  0.125
Tl  0.668  0.750  0.125
Tl  0.750  0.168  0.375
Tl  0.750  0.332  0.875
Tl  0.832  0.750  0.625
B  0.000  0.000  0.500
B  0.000  0.500  0.750
B  0.500  0.000  0.250
B  0.500  0.500  0.000

---

No. 10
A plane-wave DFT calculation with GGA-PBE was carried out for a relaxed ZrTlB2 crystal.

Energy of formation in eV per atom: 0.82
Calculated total energy in eV/atom: -5.24
SG: I-42d
M_tot in μB per cell: 0.00
Distance to the lowest polymorph of the same formula in eV/atom: 0.000

abc: 6.368 6.368 6.336
angles: 90.00 90.00 90.00
Atoms (fractional coordinates):
Zr  0.000  0.000  0.000
Zr  0.000  0.500  0.250
Zr  0.500  0.000  0.750
Zr  0.500  0.500  0.500
Tl  0.000  0.000  0.500
Tl  0.000  0.500  0.750
Tl  0.500  0.000  0.250
Tl  0.500  0.500  0.000
B  0.245  0.250  0.625
B  0.250  0.745  0.875
B  0.250  0.755  0.375
B  0.255  0.250  0.125
B  0.745  0.750  0.125
B  0.750  0.245  0.375
B  0.750  0.255  0.875
B  0.755  0.750  0.625

---

No. 11
A plane-wave DFT calculation with GGA-PBE was carried out for a relaxed Zr2TlB crystal.

Energy of formation in eV per atom: 0.47
Calculated total energy in eV/atom: -6.07
SG: Fm-3m
M_tot in μB per cell: 0.03
Distance to the lowest polymorph of the same formula in eV/atom: 0.866

abc: 6.713 6.713 6.713
angles: 90.00 90.00 90.00
Atoms (fractional coordinates):
Zr  0.250  0.250  0.250
Zr  0.250  0.250  0.750
Zr  0.250  0.750  0.250
Zr  0.250  0.750  0.750
Zr  0.750  0.250  0.250
Zr  0.750  0.250  0.750
Zr  0.750  0.750  0.250
Zr  0.750  0.750  0.750
Tl  0.000  0.000  0.000
Tl  0.000  0.500  0.500
Tl  0.500  0.000  0.500
Tl  0.500  0.500  0.000
B  0.000  0.000  0.500
B  0.000  0.500  0.000
B  0.500  0.000  0.000
B  0.500  0.500  0.500

---

No. 12
A plane-wave DFT calculation with GGA-PBE was carried out for a relaxed ZrTl3B crystal.

Energy of formation in eV per atom: 1.46
Calculated total energy in eV/atom: -3.01
SG: Pm-3m
M_tot in μB per cell: 0.00
Distance to the lowest polymorph of the same formula in eV/atom: 0.532

abc: 5.661 5.661 5.661
angles: 90.00 90.00 90.00
Atoms (fractional coordinates):
Zr  0.000  0.000  0.000
Tl  0.000  0.000  0.500
Tl  0.000  0.500  0.000
Tl  0.500  0.000  0.000
B  0.500  0.500  0.500

---

No. 13
A plane-wave DFT calculation with GGA-PBE was carried out for a relaxed TmB4 crystal.

Energy of formation in eV per atom: 3.08
Calculated total energy in eV/atom: -3.15
SG: Pm-3m
M_tot in μB per cell: 0.00
Distance to the lowest polymorph of the same formula in eV/atom: 3.658

abc: 4.698 4.698 4.698
angles: 90.00 90.00 90.00
Atoms (fractional coordinates):
Tm  0.000  0.000  0.000
B  0.000  0.000  0.500
B  0.000  0.500  0.000
B  0.500  0.000  0.000
B  0.500  0.500  0.500

---

No. 14
A plane-wave DFT calculation with GGA-PBE was carried out for a relaxed Tm2B3 crystal.

Energy of formation in eV per atom: -0.54
Calculated total energy in eV/atom: -6.33
SG: Cmcm
M_tot in μB per cell: 0.00

abc: 11.312 11.312 3.247
angles: 90.00 90.00 160.96
Atoms (fractional coordinates):
Tm  0.064  0.936  0.750
Tm  0.191  0.809  0.250
Tm  0.809  0.191  0.750
Tm  0.936  0.064  0.250
B  0.357  0.643  0.250
B  0.395  0.605  0.750
B  0.479  0.521  0.750
B  0.521  0.479  0.250
B  0.605  0.395  0.250
B  0.643  0.357  0.750

---

No. 15
A plane-wave DFT calculation with GGA-PBE was carried out for a relaxed TmB5 crystal.

Energy of formation in eV per atom: 0.15
Calculated total energy in eV/atom: -6.16
SG: Cmmm
M_tot in μB per cell: 0.00

abc: 5.455 7.443 3.065
angles: 90.00 90.00 90.00
Atoms (fractional coordinates):
Tm  0.000  0.000  0.000
Tm  0.500  0.500  0.000
B  0.000  0.274  0.500
B  0.000  0.373  0.000
B  0.000  0.500  0.500
B  0.000  0.627  0.000
B  0.000  0.726  0.500
B  0.500  0.000  0.500
B  0.500  0.127  0.000
B  0.500  0.226  0.500
B  0.500  0.774  0.500
B  0.500  0.873  0.000

---

No. 16
A plane-wave DFT calculation with GGA-PBE was carried out for a relaxed Tm3B11 crystal.

Energy of formation in eV per atom: -0.30
Calculated total energy in eV/atom: -6.50
SG: Immm
M_tot in μB per cell: 0.00

abc: 7.901 7.901 7.901
angles: 156.23 138.59 48.30
Atoms (fractional coordinates):
Tm  0.000  0.000  0.000
Tm  0.244  0.244  0.000
Tm  0.756  0.756  0.000
B  0.059  0.382  0.677
B  0.218  0.878  0.340
B  0.295  0.618  0.677
B  0.337  0.500  0.837
B  0.462  0.122  0.340
B  0.500  0.000  0.500
B  0.538  0.878  0.660
B  0.663  0.500  0.163
B  0.705  0.382  0.323
B  0.782  0.122  0.660
B  0.941  0.618  0.323

---

No. 17
A plane-wave DFT calculation with GGA-PBE was carried out for a relaxed TmB4 crystal.

Energy of formation in eV per atom: -0.58
Calculated total energy in eV/atom: -6.81
SG: P4/mbm
M_tot in μB per cell: 0.00
Distance to the lowest polymorph of the same formula in eV/atom: 0.000

abc: 7.056 7.056 3.983
angles: 90.00 90.00 90.00
Atoms (fractional coordinates):
Tm  0.181  0.319  0.000
Tm  0.319  0.819  0.000
Tm  0.681  0.181  0.000
Tm  0.819  0.681  0.000
B  0.000  0.000  0.203
B  0.000  0.000  0.797
B  0.039  0.823  0.500
B  0.087  0.587  0.500
B  0.177  0.039  0.500
B  0.323  0.539  0.500
B  0.413  0.087  0.500
B  0.461  0.323  0.500
B  0.500  0.500  0.203
B  0.500  0.500  0.797
B  0.539  0.677  0.500
B  0.587  0.913  0.500
B  0.677  0.461  0.500
B  0.823  0.961  0.500
B  0.913  0.413  0.500
B  0.961  0.177  0.500

---

No. 18
A plane-wave DFT calculation with GGA-PBE was carried out for a relaxed TmB crystal.

Energy of formation in eV per atom: -0.42
Calculated total energy in eV/atom: -5.99
SG: Cmcm
M_tot in μB per cell: 0.00

abc: 3.493 12.490 3.175
angles: 90.00 90.00 90.00
Atoms (fractional coordinates):
Tm  0.000  0.127  0.250
Tm  0.000  0.873  0.750
Tm  0.500  0.373  0.750
Tm  0.500  0.627  0.250
B  0.000  0.475  0.250
B  0.000  0.525  0.750
B  0.500  0.025  0.750
B  0.500  0.975  0.250

---

No. 19
A plane-wave DFT calculation with GGA-PBE was carried out for a relaxed TmUB crystal.

Energy of formation in eV per atom: 0.46
Calculated total energy in eV/atom: -7.02
SG: Immm
M_tot in μB per cell: 1.41

abc: 3.154 4.875 15.008
angles: 90.00 90.00 90.00
Atoms (fractional coordinates):
Tm  0.000  0.000  0.182
Tm  0.000  0.000  0.818
Tm  0.500  0.500  0.318
Tm  0.500  0.500  0.682
U  0.000  0.251  0.500
U  0.000  0.749  0.500
U  0.500  0.249  0.000
U  0.500  0.751  0.000
B  0.000  0.000  0.353
B  0.000  0.000  0.647
B  0.500  0.500  0.147
B  0.500  0.500  0.853

---

No. 20
A plane-wave DFT calculation with GGA-PBE was carried out for a relaxed TmVB2 crystal.

Energy of formation in eV per atom: -0.08
Calculated total energy in eV/atom: -6.82
SG: R-3m
M_tot in μB per cell: 0.00

abc: 3.541 3.541 14.552
angles: 90.00 90.00 120.00
Atoms (fractional coordinates):
Tm  0.000  0.000  0.000
Tm  0.333  0.667  0.667
Tm  0.667  0.333  0.333
V  0.000  0.000  0.500
V  0.333  0.667  0.167
V  0.667  0.333  0.833
B  0.000  0.000  0.217
B  0.000  0.000  0.783
B  0.333  0.667  0.450
B  0.333  0.667  0.884
B  0.667  0.333  0.116
B  0.667  0.333  0.550

---

No. 21
A plane-wave DFT calculation with GGA-PBE was carried out for a relaxed Tm2VB10 crystal.

Energy of formation in eV per atom: -0.35
Calculated total energy in eV/atom: -6.87
SG: Pbam
M_tot in μB per cell: 4.88

abc: 5.699 11.335 4.129
angles: 90.00 90.00 90.00
Atoms (fractional coordinates):
Tm  0.198  0.140  0.000
Tm  0.302  0.640  0.000
Tm  0.698  0.360  0.000
Tm  0.802  0.860  0.000
V  0.000  0.500  0.500
V  0.500  0.000  0.500
B  0.057  0.308  0.500
B  0.121  0.959  0.500
B  0.134  0.802  0.500
B  0.224  0.381  0.200
B  0.224  0.381  0.800
B  0.276  0.881  0.200
B  0.276  0.881  0.800
B  0.366  0.302  0.500
B  0.379  0.459  0.500
B  0.443  0.808  0.500
B  0.557  0.192  0.500
B  0.621  0.541  0.500
B  0.634  0.698  0.500
B  0.724  0.119  0.200
B  0.724  0.119  0.800
B  0.776  0.619  0.200
B  0.776  0.619  0.800
B  0.866  0.198  0.500
B  0.879  0.041  0.500
B  0.943  0.692  0.500

---

No. 22
A plane-wave DFT calculation with GGA-PBE was carried out for a relaxed Tm3VB7 crystal.

Energy of formation in eV per atom: -0.68
Calculated total energy in eV/atom: -6.98
SG: Cmcm
M_tot in μB per cell: 0.00

abc: 8.029 8.029 9.332
angles: 90.00 90.00 155.60
Atoms (fractional coordinates):
Tm  0.106  0.894  0.559
Tm  0.106  0.894  0.941
Tm  0.243  0.757  0.250
Tm  0.757  0.243  0.750
Tm  0.894  0.106  0.059
Tm  0.894  0.106  0.441
V  0.052  0.948  0.250
V  0.948  0.052  0.750
B  0.273  0.727  0.532
B  0.273  0.727  0.968
B  0.367  0.633  0.649
B  0.367  0.633  0.851
B  0.456  0.544  0.250
B  0.480  0.520  0.594
B  0.480  0.520  0.906
B  0.520  0.480  0.094
B  0.520  0.480  0.406
B  0.544  0.456  0.750
B  0.633  0.367  0.149
B  0.633  0.367  0.351
B  0.727  0.273  0.032
B  0.727  0.273  0.468

---

No. 23
A plane-wave DFT calculation with GGA-PBE was carried out for a relaxed TmVB crystal.

Energy of formation in eV per atom: 0.13
Calculated total energy in eV/atom: -6.63
SG: P6_3/mmc
M_tot in μB per cell: 4.20

abc: 3.747 3.747 7.989
angles: 90.00 90.00 120.00
Atoms (fractional coordinates):
Tm  0.000  0.000  0.000
Tm  0.000  0.000  0.500
V  0.333  0.667  0.250
V  0.667  0.333  0.750
B  0.333  0.667  0.750
B  0.667  0.333  0.250

---

No. 24
A plane-wave DFT calculation with GGA-PBE was carried out for a relaxed TmB4W2 crystal.

Energy of formation in eV per atom: -0.32
Calculated total energy in eV/atom: -8.47
SG: C2/c
M_tot in μB per cell: 0.00

abc: 6.836 6.836 5.846
angles: 102.30 102.30 38.45
Atoms (fractional coordinates):
Tm  0.231  0.769  0.750
Tm  0.769  0.231  0.250
B  0.177  0.593  0.191
B  0.354  0.356  0.426
B  0.356  0.354  0.926
B  0.407  0.823  0.309
B  0.593  0.177  0.691
B  0.644  0.646  0.074
B  0.646  0.644  0.574
B  0.823  0.407  0.809
W  0.209  0.221  0.606
W  0.221  0.209  0.106
W  0.779  0.791  0.894
W  0.791  0.779  0.394